Record 1
{
  "formula": "K6Au4O",
  "functional": "GGA-PBE",
  "state": "relaxed",
  "lattice_angstrom": [[-6.8216, -2.5939, -4.7122], [-4.3843, -1.7277, 7.2980], [-3.5613, 9.2671, 0.0544]],
  "species": ["K", "K", "K", "K", "K", "K", "K", "K", "K", "K", "K", "K", "Au", "Au", "Au", "Au", "Au", "Au", "Au", "Au", "O", "O"],
  "fractional_positions": [[0.2772, 0.8689, 0.5000], [0.7772, 0.6311, 0.0000], [0.6311, 0.2228, 0.0000], [0.1311, 0.2772, 0.5000], [0.0000, 0.0000, 0.2472], [0.5000, 0.5000, 0.2528], [0.3689, 0.7772, 0.0000], [0.0000, 0.0000, 0.7528], [0.2228, 0.3689, 0.0000], [0.5000, 0.5000, 0.7472], [0.8689, 0.7228, 0.5000], [0.7228, 0.1311, 0.5000], [0.3818, 0.1182, 0.2500], [0.1182, 0.6182, 0.7500], [0.6182, 0.8818, 0.7500], [0.8818, 0.3818, 0.7500], [0.3818, 0.1182, 0.7500], [0.1182, 0.6182, 0.2500], [0.8818, 0.3818, 0.2500], [0.6182, 0.8818, 0.2500], [0.5000, 0.5000, 0.0000], [0.0000, 0.0000, 0.5000]]
}



Record 2
{
  "formula": "K7Au2O2",
  "functional": "GGA-PBE",
  "state": "relaxed",
  "lattice_angstrom": [[7.9390, 0.0156, 0.0225], [-0.8413, 8.2175, -0.4134], [-0.8413, -3.2728, 7.5489]],
  "species": ["K", "K", "K", "K", "K", "K", "K", "Au", "Au", "O", "O"],
  "fractional_positions": [[0.2678, 0.9309, 0.6230], [0.7322, 0.3770, 0.0691], [0.7322, 0.0691, 0.3770], [0.2678, 0.6230, 0.9309], [0.0000, 0.0000, 0.0000], [0.8128, 0.5600, 0.5600], [0.1872, 0.4400, 0.4400], [0.5000, 0.3196, 0.6804], [0.5000, 0.6804, 0.3196], [0.8916, 0.2638, 0.2638], [0.1084, 0.7362, 0.7362]],
  "relative_energy_kj_per_mol_fu": 32,
  "n_ef_per_ev_cell": 4.3
}



no.,energy (eV per atom),raw formation energy (meV per atom),total moment (μB/f.u.)
1,-2.744,-503,0.122
2,-2.817,-621,0.000